Li2CeSiN4: optimized geometry, PBE.

Cell lengths 5.264, 5.264, 6.378 Å; angles 90.00, 90.00, 90.00 degrees
Positions (direct):
Li 0.000 0.500 0.250
Li 0.000 0.500 0.750
Li 0.500 0.000 0.250
Li 0.500 0.000 0.750
Ce 0.000 0.000 0.000
Ce 0.500 0.500 0.500
Si 0.000 0.000 0.500
Si 0.500 0.500 0.000
N 0.199 0.199 0.355
N 0.199 0.801 0.645
N 0.301 0.301 0.855
N 0.301 0.699 0.145
N 0.699 0.301 0.145
N 0.699 0.699 0.855
N 0.801 0.199 0.645
N 0.801 0.801 0.355

Values from the calculation:
The total magnetization comes out at 0.0002 μB/atom. As for the space-group type: I-42m, No. 121. As for the raw formation energy: -0.60 eV/atom. The value obtained for the total energy is -6.66 eV/atom.